[1]
The following is a GGA-PBE calculation of a geometry-optimized Pm2Pr4YMg structure, from Alexandria via LeMat-Bulk.

Cell and atoms, written as extended XYZ:
```
8
Lattice="5.124 0.000 0.000 0.000 5.124 0.000 0.000 0.000 10.219" Properties=species:S:1:pos:R:3 pbc="T T T"
Pm 0.000 0.000 0.000
Pm 2.562 2.562 5.109
Pr 0.000 2.562 2.517
Pr 0.000 2.562 7.702
Pr 2.562 0.000 2.517
Pr 2.562 0.000 7.702
Y 0.000 0.000 5.109
Mg 2.562 2.562 0.000
```

Calculated values
As for the calculated formation energy: 0.003 eV per atom.



[2]
The following is a GGA-PBE calculation of a geometry-optimized LiLa3Sn6Pd2 structure, from Alexandria via LeMat-Bulk.

Cell and atoms, written as extended XYZ:
```
12
Lattice="6.598 0.000 0.000 -3.299 5.714 0.000 0.000 0.000 8.597" Properties=species:S:1:pos:R:3 pbc="T T T"
Li 0.000 0.000 0.000
La 0.000 0.000 4.298
La 0.000 3.809 1.129
La 3.299 1.905 7.468
Sn 0.000 2.076 6.762
Sn -1.501 4.676 6.762
Sn 1.798 1.038 1.834
Sn 1.501 4.676 6.762
Sn 4.800 1.038 1.834
Sn 3.299 3.638 1.834
Pd 0.000 3.809 4.602
Pd 3.299 1.905 3.994
```

Calculated values
As for the calculated formation energy: -0.436 eV per atom.



[3]
The following is a GGA-PBE calculation of a geometry-optimized YHg2Br structure, from Alexandria via LeMat-Bulk.

Cell and atoms, written as extended XYZ:
```
4
Lattice="2.005 -3.092 0.000 2.005 3.092 0.000 0.000 0.000 9.112" Properties=species:S:1:pos:R:3 pbc="T T T"
Y 0.000 0.000 0.000
Hg 2.005 0.000 2.315
Hg 2.005 0.000 6.797
Br 0.000 0.000 4.556
```

Calculated values
For the excess energy over the best structure of this formula in the dataset, the calculation gives 0.266 eV per atom.



[4]
The following is a GGA-PBE calculation of a geometry-optimized DyTmAgRu structure, from Alexandria via LeMat-Bulk.

Cell and atoms, written as extended XYZ:
```
4
Lattice="0.000 3.484 3.484 3.484 0.000 3.484 3.484 3.484 0.000" Properties=species:S:1:pos:R:3 pbc="T T T"
Dy 0.000 0.000 0.000
Tm 3.484 3.484 3.484
Ag 5.226 5.226 5.226
Ru 1.742 1.742 1.742
```

Calculated values
As for the calculated formation energy: -0.377 eV per atom. For the excess energy over the best structure of this formula in the dataset, the calculation gives 0.064 eV per atom.



[5]
The following is a GGA-PBE calculation of a geometry-optimized YPuTlIr structure, from Alexandria via LeMat-Bulk.

Cell and atoms, written as extended XYZ:
```
4
Lattice="0.000 3.617 3.617 3.617 0.000 3.617 3.617 3.617 0.000" Properties=species:S:1:pos:R:3 pbc="T T T"
Y 0.000 0.000 0.000
Pu 3.617 3.617 3.617
Tl 1.808 1.808 1.808
Ir 5.425 5.425 5.425
```

Calculated values
As for the calculated formation energy: -0.245 eV per atom.



[6]
The following is a GGA-PBE calculation of a geometry-optimized LiPuTlHg structure, from Alexandria via LeMat-Bulk.

Cell and atoms, written as extended XYZ:
```
4
Lattice="3.336 0.000 0.000 0.000 3.336 0.000 0.000 0.000 8.148" Properties=species:S:1:pos:R:3 pbc="T T T"
Li 0.000 0.000 0.000
Pu 0.000 0.000 4.271
Tl 1.668 1.668 1.831
Hg 1.668 1.668 6.565
```

Calculated values
As for the calculated formation energy: -0.181 eV per atom. For the excess energy over the best structure of this formula in the dataset, the calculation gives 0.000 eV per atom.



[7]
The following is a GGA-PBE calculation of a geometry-optimized Hf3BiAs structure, from Alexandria via LeMat-Bulk.

Cell and atoms, written as extended XYZ:
```
5
Lattice="5.008 0.000 0.000 0.000 5.008 0.000 0.000 0.000 5.008" Properties=species:S:1:pos:R:3 pbc="T T T"
Hf 0.000 0.000 2.504
Hf 0.000 2.504 0.000
Hf 2.504 0.000 0.000
Bi 2.504 2.504 2.504
As 0.000 0.000 0.000
```

Calculated values
As for the calculated formation energy: 0.194 eV per atom. For the excess energy over the best structure of this formula in the dataset, the calculation gives 0.439 eV per atom.



[8]
The following is a GGA-PBE calculation of a geometry-optimized Er2ThMg2In2 structure, from Alexandria via LeMat-Bulk.

Cell and atoms, written as extended XYZ:
```
7
Lattice="2.516 1.453 8.649 -2.516 1.453 8.649 0.000 -2.905 8.649" Properties=species:S:1:pos:R:3 pbc="T T T"
Er 0.000 0.000 3.386
Er 0.000 0.000 22.560
Th 0.000 0.000 0.000
Mg 0.000 0.000 10.564
Mg 0.000 0.000 15.382
In 0.000 0.000 6.776
In 0.000 0.000 19.170
```

Calculated values
As for the calculated formation energy: -0.159 eV per atom.